[1]
Compound: Pr3Zr2Sn3
Source: Alexandria
Functional: PBE
Structure: relaxed

The structure belongs to space group P6_3/mcm (No. 193); the cell edges are 9.1337, 9.1337 and 6.1597 Å and the angles 90.00°, 90.00° and 120.00°. The asymmetric unit holds Pr at (0.0000, 0.2436, 0.2500), Zr at (0.3333, 0.6667, 0.0000) and Sn at (0.0000, 0.4050, 0.7500).

Its volume is 222.5 Å³/f.u. The energy relative to the elements comes out at -0.607 eV per atom. The energy is -96.601 eV per cell.

=====

[2]
Compound: SrPr4
Source: Alexandria
Functional: PBE
Structure: relaxed

The structure belongs to space group Immm (No. 71); the cell edges are 3.7743, 6.0058 and 17.1936 Å and the angles 90.00°, 90.00° and 90.00°. The asymmetric unit holds Sr at (0.0000, 0.0000, 0.0000), Pr at (0.0000, 0.0000, 0.3975) and Pr at (0.0000, 0.5000, 0.2815).

Its volume is 194.9 Å³/f.u. The energy relative to the elements comes out at 0.094 eV per atom. The energy is -40.659 eV per cell. Its energy above the most stable polymorph in this dataset is 0 meV per atom.

=====

[3]
Compound: SrPr3
Source: Alexandria
Functional: PBE
Structure: relaxed

The structure belongs to space group P6_3/mmc (No. 194); the cell edges are 7.7221, 7.7221 and 6.1195 Å and the angles 90.00°, 90.00° and 120.00°. The asymmetric unit holds Sr at (0.3333, 0.6667, 0.2500) and Pr at (0.1604, 0.3208, 0.7500).

Its volume is 158.0 Å³/f.u. The energy relative to the elements comes out at 0.134 eV per atom. The energy is -30.967 eV per cell.

=====

[4]
Compound: SrPr3
Source: Alexandria
Functional: PBE
Structure: relaxed

The structure belongs to space group Fm-3m (No. 225); the cell edges are 8.5685, 8.5685 and 8.5685 Å and the angles 90.00°, 90.00° and 90.00°. The asymmetric unit holds Sr at (0.0000, 0.0000, 0.0000), Pr at (0.0000, 0.0000, 0.5000) and Pr at (0.2500, 0.2500, 0.2500).

Its volume is 157.3 Å³/f.u. The energy relative to the elements comes out at 0.196 eV per atom. The energy is -60.949 eV per cell.

=====

[5]
Compound: SrPr2
Source: Alexandria
Functional: PBE
Structure: relaxed

The structure belongs to space group Fd-3m (No. 227, origin choice 2); the cell edges are 10.0951, 10.0951 and 10.0951 Å and the angles 90.00°, 90.00° and 90.00°. The asymmetric unit holds Sr at (0.1250, 0.1250, 0.1250) and Pr at (0.0000, 0.0000, 0.5000).

Its volume is 128.6 Å³/f.u. The energy relative to the elements comes out at 0.175 eV per atom. The energy is -85.729 eV per cell. Its energy above the most stable polymorph in this dataset is 106 meV per atom.

=====

[6]
Compound: SrPr6
Source: Alexandria
Functional: PBE
Structure: relaxed

The structure belongs to space group Im-3m (No. 229); the cell edges are 8.4677, 8.4677 and 8.4677 Å and the angles 90.00°, 90.00° and 90.00°. The asymmetric unit holds Sr at (0.0000, 0.0000, 0.0000) and Pr at (0.0000, 0.2500, 0.5000).

Its volume is 303.6 Å³/f.u. The energy relative to the elements comes out at 1.003 eV per atom. The energy is -46.681 eV per cell.

=====

[7]
Compound: SrPr8
Source: Alexandria
Functional: PBE
Structure: relaxed

The structure belongs to space group C2/m (No. 12); the cell edges are 6.5818, 11.3420 and 9.3417 Å and the angles 90.00°, 103.40° and 90.00°. The asymmetric unit holds Sr at (0.0000, 0.0000, 0.0000), Pr at (0.0000, 0.3332, 0.0000), Pr at (0.2100, 0.3258, 0.6660) and Pr at (0.2296, 0.0000, 0.6567).

Its volume is 339.2 Å³/f.u. The energy relative to the elements comes out at 0.060 eV per atom. The energy is -78.757 eV per cell.

=====

[8]
Compound: SrPr3
Source: Alexandria
Functional: PBE
Structure: relaxed

The structure belongs to space group Pmm2 (No. 25); the cell edges are 3.7972, 6.1190 and 6.7696 Å and the angles 90.00°, 90.00° and 90.00°. The asymmetric unit holds Sr at (0.0000, 0.0000, 0.0000), Pr at (0.0000, 0.5000, 0.6650), Pr at (0.5000, 0.0000, 0.5012) and Pr at (0.5000, 0.5000, 0.1949).

Its volume is 157.3 Å³/f.u. The energy relative to the elements comes out at 0.114 eV per atom. The energy is -15.563 eV per cell.

=====

[9]
Compound: SrPr11
Source: Alexandria
Functional: PBE
Structure: relaxed

The structure belongs to space group P6/mmm (No. 191); the cell edges are 11.8695, 11.8695 and 3.6952 Å and the angles 90.00°, 90.00° and 120.00°. The asymmetric unit holds Sr at (0.0000, 0.0000, 0.0000), Pr at (0.0000, 0.5000, 0.0000), Pr at (0.1787, 0.3575, 0.5000) and Pr at (0.3333, 0.6667, 0.0000).

Its volume is 450.9 Å³/f.u. The energy relative to the elements comes out at 0.045 eV per atom. The energy is -53.714 eV per cell.

=====

[10]
Compound: Sr5Pr
Source: Alexandria
Functional: PBE
Structure: relaxed

The structure belongs to space group Cmmm (No. 65); the cell edges are 6.6128, 19.8412 and 4.4978 Å and the angles 90.00°, 90.00° and 90.00°. The asymmetric unit holds Sr at (0.0000, 0.0000, 0.0000), Sr at (0.0000, 0.1684, 0.5000), Sr at (0.0000, 0.3435, 0.0000) and Pr at (0.0000, 0.5000, 0.5000).

Its volume is 295.1 Å³/f.u. The energy relative to the elements comes out at 0.087 eV per atom. The energy is -25.337 eV per cell.

=====

[11]
Compound: SrPr4
Source: Alexandria
Functional: PBE
Structure: relaxed

The structure belongs to space group Pm-3m (No. 221); the cell edges are 5.9617, 5.9617 and 5.9617 Å and the angles 90.00°, 90.00° and 90.00°. The asymmetric unit holds Sr at (0.0000, 0.0000, 0.0000), Pr at (0.0000, 0.0000, 0.5000) and Pr at (0.5000, 0.5000, 0.5000).

Its volume is 211.9 Å³/f.u. The energy relative to the elements comes out at 0.879 eV per atom. The energy is -16.407 eV per cell. Its energy above the most stable polymorph in this dataset is 784 meV per atom.

=====

[12]
Compound: SrPr3
Source: Alexandria
Functional: PBE
Structure: relaxed

The structure belongs to space group Imm2 (No. 44); the cell edges are 3.8261, 12.3188 and 6.6804 Å and the angles 90.00°, 90.00° and 90.00°. The asymmetric unit holds Sr at (0.0000, 0.0000, 0.0000), Pr at (0.0000, 0.2399, 0.6590) and Pr at (0.0000, 0.5000, 0.9972).

Its volume is 157.4 Å³/f.u. The energy relative to the elements comes out at 0.110 eV per atom. The energy is -31.159 eV per cell.

=====

[13]
Compound: SrPr2
Source: Alexandria
Functional: PBE
Structure: relaxed

The structure belongs to space group I4/mmm (No. 139); the cell edges are 3.8414, 3.8414 and 16.6298 Å and the angles 90.00°, 90.00° and 90.00°. The asymmetric unit holds Sr at (0.0000, 0.0000, 0.0000) and Pr at (0.0000, 0.0000, 0.3216).

Its volume is 122.7 Å³/f.u. The energy relative to the elements comes out at 0.069 eV per atom. The energy is -22.070 eV per cell. Its energy above the most stable polymorph in this dataset is 0 meV per atom.

=====

[14]
Compound: SrPr7
Source: Alexandria
Functional: PBE
Structure: relaxed

The structure belongs to space group Immm (No. 71); the cell edges are 3.7560, 11.6901 and 13.9223 Å and the angles 90.00°, 90.00° and 90.00°. The asymmetric unit holds Sr at (0.0000, 0.0000, 0.0000), Pr at (0.0000, 0.2264, 0.3659), Pr at (0.0000, 0.5000, 0.0000) and Pr at (0.0000, 0.5000, 0.2537).

Its volume is 305.6 Å³/f.u. The energy relative to the elements comes out at 0.056 eV per atom. The energy is -69.382 eV per cell.

=====

[15]
Compound: SrPr3
Source: Alexandria
Functional: PBE
Structure: relaxed

The structure belongs to space group Pm-3m (No. 221); the cell edges are 5.3812, 5.3812 and 5.3812 Å and the angles 90.00°, 90.00° and 90.00°. The asymmetric unit holds Sr at (0.0000, 0.0000, 0.0000) and Pr at (0.0000, 0.5000, 0.5000).

Its volume is 155.8 Å³/f.u. The energy relative to the elements comes out at 0.131 eV per atom. The energy is -15.498 eV per cell.

=====

[16]
Compound: SrTb2Pr
Source: Alexandria
Functional: PBE
Structure: relaxed

The structure belongs to space group R-3m (No. 166, hexagonal axes); the cell edges are 3.6586, 3.6586 and 38.7623 Å and the angles 90.00°, 90.00° and 120.00°. The asymmetric unit holds Sr at (0.0000, 0.0000, 0.0000), Tb at (0.0000, 0.0000, 0.0918) and Pr at (0.0000, 0.0000, 0.5000).

Its volume is 149.8 Å³/f.u. The energy relative to the elements comes out at 0.217 eV per atom. The energy is -44.564 eV per cell. Its energy above the most stable polymorph in this dataset is 102 meV per atom.

=====

[17]
Compound: SrTb6Pr12
Source: Alexandria
Functional: PBE
Structure: relaxed

The structure belongs to space group R-3m (No. 166, hexagonal axes); the cell edges are 13.6232, 13.6232 and 13.0945 Å and the angles 90.00°, 90.00° and 120.00°. The asymmetric unit holds Sr at (0.0000, 0.0000, 0.0000), Tb at (0.0353, 0.5176, 0.6174), Pr at (0.0000, 0.2624, 0.5000) and Pr at (0.0909, 0.1817, 0.2682).

Its volume is 701.5 Å³/f.u. The energy relative to the elements comes out at 0.190 eV per atom. The energy is -249.632 eV per cell.

=====

[18]
Compound: SrTb2Pr
Source: Alexandria
Functional: PBE
Structure: relaxed

The structure belongs to space group P4/mmm (No. 123); the cell edges are 3.7384, 3.7384 and 10.6946 Å and the angles 90.00°, 90.00° and 90.00°. The asymmetric unit holds Sr at (0.0000, 0.0000, 0.0000), Tb at (0.5000, 0.5000, 0.2750) and Pr at (0.0000, 0.0000, 0.5000).

Its volume is 149.5 Å³/f.u. The energy relative to the elements comes out at 0.122 eV per atom. The energy is -15.233 eV per cell. Its energy above the most stable polymorph in this dataset is 7 meV per atom.

=====

[19]
Compound: SrTbPr2
Source: Alexandria
Functional: PBE
Structure: relaxed

The structure belongs to space group Fm-3m (No. 225); the cell edges are 8.4850, 8.4850 and 8.4850 Å and the angles 90.00°, 90.00° and 90.00°. The asymmetric unit holds Sr at (0.0000, 0.0000, 0.0000), Tb at (0.0000, 0.0000, 0.5000) and Pr at (0.2500, 0.2500, 0.2500).

Its volume is 152.7 Å³/f.u. The energy relative to the elements comes out at 0.203 eV per atom. The energy is -60.240 eV per cell. Its energy above the most stable polymorph in this dataset is 124 meV per atom.

=====

[20]
Compound: SrTb2Pr
Source: Alexandria
Functional: PBE
Structure: relaxed

The structure belongs to space group P4/mmm (No. 123); the cell edges are 5.2715, 5.2715 and 5.2639 Å and the angles 90.00°, 90.00° and 90.00°. The asymmetric unit holds Sr at (0.0000, 0.0000, 0.0000), Tb at (0.0000, 0.5000, 0.5000) and Pr at (0.5000, 0.5000, 0.0000).

Its volume is 146.3 Å³/f.u. The energy relative to the elements comes out at 0.180 eV per atom. The energy is -15.002 eV per cell. Its energy above the most stable polymorph in this dataset is 65 meV per atom.